## AlIr3Pt (PBE)

Data for an optimized crystal structure of AlIr3Pt.

Cell lengths 4.4157, 4.4157, 4.4157 Å; angles 90.00, 90.00, 90.00 degrees
Sites, in units of the cell vectors:
Ir  0.0000  0.5000  0.0000
Ir  0.0000  0.0000  0.5000
Ir  0.5000  0.0000  0.0000
Al  0.0000  0.0000  0.0000
Pt  0.5000  0.5000  0.5000

Results
**Magnetization**: 0.0 μB per cell
**Energy above the most stable polymorph in this dataset**: 0.00 kcal/mol of atoms
**Formation energy**: 1192 meV per atom
**SG**: No. 221